Entry 1:
CaCeTm4S8: relaxed, PBE.

- Calculated volume: 370.8 Å³/cell

Lattice parameters (Å, degrees): 8.118 8.118 8.118 59.14 59.14 59.14
Atoms (fractional coordinates):
Ca 0.000 0.000 0.000
Ce 0.373 0.373 0.373
Tm 0.372 0.372 0.879
Tm 0.372 0.879 0.372
Tm 0.749 0.749 0.749
Tm 0.879 0.372 0.372
S 0.128 0.128 0.593
S 0.128 0.593 0.128
S 0.135 0.135 0.135
S 0.143 0.625 0.625
S 0.593 0.128 0.128
S 0.616 0.616 0.616
S 0.625 0.143 0.625
S 0.625 0.625 0.143


Entry 2:
Ti3IBr: relaxed, PBE.

- Energy above the lowest structure with this stoichiometry: 414 meV/atom
- Calculated volume: 132.4 Å³/cell

Lattice parameters (Å, degrees): 5.097 5.097 5.097 90.00 90.00 90.00
Atoms (fractional coordinates):
Ti 0.000 0.000 0.500
Ti 0.000 0.500 0.000
Ti 0.500 0.000 0.000
I 0.000 0.000 0.000
Br 0.500 0.500 0.500


| no. | magnetization (μB/cell) | total DFT energy (no corrections) (eV/atom) |
| --- | --- | --- |
| 1 | 1.4 | -6.1671 |
| 2 | 3.5 | -4.3147 |